DFT (PBE) results for crystalline Pu2W2C3 at its relaxed geometry.

Geometry as CIF:
```
data_Pu2W2C3
_chemical_formula_sum 'Pu4 W4 C6'
_space_group_name_H-M_alt 'C 1 2/m 1'
_space_group_IT_number 12
_cell_length_a 11.5359
_cell_length_b 3.2715
_cell_length_c 5.7030
_cell_angle_alpha 90.00
_cell_angle_beta 105.64
_cell_angle_gamma 90.00
loop_
_space_group_symop_operation_xyz
'x,y,z'
'-x,-y,-z'
'-x,y,-z'
'x,-y,z'
'x+1/2,y+1/2,z'
'-x+1/2,-y+1/2,-z'
'-x+1/2,y+1/2,-z'
'x+1/2,-y+1/2,z'
loop_
_atom_site_label
_atom_site_fract_x
_atom_site_fract_y
_atom_site_fract_z
Pu1 0.1102 0.0000 0.3328
W1 0.1523 0.5000 0.8788
C1 0.0000 0.5000 0.0000
C2 0.2369 0.0000 0.7520
```

Properties
* uncorrected energy: -11.8130 eV per atom